Record 1
Computed, not measured: a relaxed structure of SrZr2SnO6 at the GGA-PBE level of DFT.

Cell: 4.1950 4.1950 8.3951 Å, 90.00 90.00 90.00°
Closest atoms and distances in Å follow each position.
Atoms (fractional coordinates):
Sr: 0.0000 0.0000 0.0000  12 O 2.93-2.97
Zr: 0.5000 0.5000 0.2497  6 O 2.10
Zr: 0.5000 0.5000 0.7503  6 O 2.10
Sn: 0.0000 0.0000 0.5000  12 O 2.97-3.00
O: 0.0000 0.5000 0.2445  2 Zr 2.10
O: 0.0000 0.5000 0.7555  2 Zr 2.10
O: 0.5000 0.0000 0.2445  2 Zr 2.10
O: 0.5000 0.0000 0.7555  2 Zr 2.10
O: 0.5000 0.5000 0.0000  2 Zr 2.10
O: 0.5000 0.5000 0.5000  2 Zr 2.10

Properties
**Energy above the most stable polymorph in this dataset**: 0.047 eV/atom

Record 2
Computed, not measured: a relaxed structure of CsPuOF2 at the GGA-PBE level of DFT.

Cell: 4.8466 4.8466 4.3851 Å, 90.00 90.00 90.00°
Closest atoms and distances in Å follow each position.
Atoms (fractional coordinates):
Cs: 0.0000 0.0000 0.0000  8 F 3.27, 4 O 3.43
Pu: 0.5000 0.5000 0.5000  2 O 2.19, 4 F 2.42
O: 0.5000 0.5000 0.0000  2 Pu 2.19
F: 0.0000 0.5000 0.5000  2 Pu 2.42
F: 0.5000 0.0000 0.5000  2 Pu 2.42

The evaluated E_form (uncorrected) for the records listed, in turn: -263, -285 kJ/mol of atoms.
The evaluated magnetic moment for the records listed, in turn: 0.0, 5.0 μB per cell.